7
Lattice="4.153 -4.824 0.000 4.153 4.824 0.000 -3.434 0.000 4.098" Properties=species:S:1:pos:R:3 comment="K3CrF3 (PBE with a Hubbard U, relaxed)" mass_density_g_cm3=2.29 energy_ev_per_atom=-4.28 pbc="T T T"
K 0.000 0.000 0.000
K 2.679 2.478 2.251
K 2.679 -2.478 2.251
Cr 4.205 0.000 0.041
F 0.720 2.051 4.096
F 0.720 -2.051 4.096
F 5.977 0.000 1.542